No. 1
## Cs2ThTlCl6 (GGA-PBE)

Data for a relaxed Cs2ThTlCl6 crystal.

a = 8.9891 Å, b = 8.9891 Å, c = 35.2279 Å
α = 90.00°, β = 90.00°, γ = 120.00°
Last column: nearest neighbours and their distance in Å.
Space group R-3m (No. 166, hexagonal axes)
Symmetry-distinct sites (fractional):
Cs1 0.0000 0.0000 0.1328 [6 per cell]  6 Cl 3.58-3.72
Cs2 0.0000 0.0000 0.2699 [6 per cell]  3 Cl 3.58
Th1 0.0000 0.0000 0.0000 [3 per cell]  6 Cl 2.68
Th2 0.0000 0.0000 0.5000 [3 per cell]  6 Cl 2.83
Tl1 0.0000 0.0000 0.4027 [6 per cell]  6 Cl 3.17-3.38, 1 Th 3.43
Cl1 0.0056 0.5028 0.1320 [18 per cell]  1 Th 2.83
Cl2 0.0602 0.5301 0.7128 [18 per cell]  1 Th 2.68

Summary:
ΔE_f (raw) = -1796.6 meV per atom
total DFT energy (no corrections) = -4.054 eV per atom

No. 2
## LaErNi2Ge2 (GGA-PBE)

Data for a relaxed LaErNi2Ge2 crystal.

a = 4.2845 Å, b = 4.2845 Å, c = 7.3279 Å
α = 90.00°, β = 90.00°, γ = 120.00°
Last column: nearest neighbours and their distance in Å.
Space group P-3m1 (No. 164)
Symmetry-distinct sites (fractional):
La1 0.0000 0.0000 0.0000 [1 per cell]  6 Ge 3.21, 6 Ni 3.32
Er1 0.0000 0.0000 0.5000 [1 per cell]  6 Ni 2.87, 6 Ge 2.96
Ni1 0.3333 0.6667 0.6987 [2 per cell]  3 Ge 2.48
Ge1 0.3333 0.6667 0.2793 [2 per cell]  3 Ni 2.48

Summary:
ΔH_f (0 K) = -17.44 kcal/mol of atoms
total DFT energy (no corrections) = -5.804 eV per atom

No. 3
## HfTeHI2 (GGA-PBE)

Data for a relaxed HfTeHI2 crystal.

a = 5.5577 Å, b = 5.5577 Å, c = 3.8322 Å
α = 90.00°, β = 90.00°, γ = 90.00°
Last column: nearest neighbours and their distance in Å.
Space group P4/mmm (No. 123)
Symmetry-distinct sites (fractional):
Hf1 0.0000 0.0000 0.0000 [1 per cell]  8 I 3.38
Te1 0.5000 0.5000 0.0000 [1 per cell]  2 H 1.92
H1 0.5000 0.5000 0.5000 [1 per cell]  2 Te 1.92
I1 0.0000 0.5000 0.5000 [2 per cell]  2 H 2.78

Summary:
relative energy among the computed polymorphs = 511 meV/atom
total DFT energy (no corrections) = -3.368 eV per atom